Computed, not measured: MgAl3Cu at its PBEsol-relaxed geometry at the meta-GGA SCAN level of DFT.

For the total DFT energy (no corrections), the calculation gives -7.4303 eV/atom. As for the crystal system: cubic. Its formation energy is 1.255 eV per atom. For the density of states at the Fermi level, the calculation gives 2.54 states/eV/f.u.

The structure belongs to space group Pm-3m (No. 221); the cell edges are 4.954, 4.954 and 4.954 Å and the angles 90.00°, 90.00° and 90.00°. The inequivalent atoms are Mg at (0.000, 0.000, 0.000), Al at (0.000, 0.000, 0.500) and Cu at (0.500, 0.500, 0.500).

Computed, not measured: AlCu at its PBEsol-relaxed geometry at the meta-GGA SCAN level of DFT.

For the total DFT energy (no corrections), the calculation gives -11.6874 eV/atom. As for the crystal system: tetragonal. Its formation energy is -0.212 eV per atom. For the density of states at the Fermi level, the calculation gives 0.44 states/eV/f.u.

The structure belongs to space group P4/nmm (No. 129, origin choice 2); the cell edges are 3.185, 3.185 and 5.216 Å and the angles 90.00°, 90.00° and 90.00°. The inequivalent atoms are Al at (0.250, 0.250, 0.148) and Cu at (0.250, 0.250, 0.632).

Computed, not measured: MgB2P at its PBEsol-relaxed geometry at the meta-GGA SCAN level of DFT.

For the total DFT energy (no corrections), the calculation gives -6.2859 eV/atom. As for the crystal system: cubic. Its formation energy is 1.272 eV per atom. For the density of states at the Fermi level, the calculation gives 1.26 states/eV/f.u.

The structure belongs to space group Fm-3m (No. 225); the cell edges are 5.576, 5.576 and 5.576 Å and the angles 90.00°, 90.00° and 90.00°. The inequivalent atoms are Mg at (0.000, 0.000, 0.000), B at (0.250, 0.250, 0.250) and P at (0.000, 0.000, 0.500).

Computed, not measured: YTlTe2 at its PBEsol-relaxed geometry at the meta-GGA SCAN level of DFT.

For the total DFT energy (no corrections), the calculation gives -44.5583 eV/atom. As for the crystal system: tetragonal. The calculation puts the raw formation energy at -0.882 eV/atom. For the density of states at the Fermi level, the calculation gives 0.00 states/eV/f.u.

The structure belongs to space group I-42d (No. 122); the cell edges are 8.231, 8.231 and 8.613 Å and the angles 90.00°, 90.00° and 90.00°. The inequivalent atoms are Y at (0.000, 0.000, 0.000), Tl at (0.000, 0.000, 0.500) and Te at (0.216, 0.750, 0.125).

Computed, not measured: Sr10CuRu4O20 at its PBEsol-relaxed geometry at the meta-GGA SCAN level of DFT.

For the total DFT energy (no corrections), the calculation gives -16.6870 eV/atom. As for the crystal system: tetragonal. The calculation puts the raw formation energy at -2.348 eV/atom. For the density of states at the Fermi level, the calculation gives 9.77 states/eV/f.u.

The structure belongs to space group I4/m (No. 87); the cell edges are 8.617, 8.617 and 12.612 Å and the angles 90.00°, 90.00° and 90.00°. The inequivalent atoms are Sr at (0.000, 0.000, 0.148), Sr at (0.096, 0.708, 0.355), Cu at (0.000, 0.000, 0.500), Ru at (0.095, 0.700, 0.000), O at (0.000, 0.000, 0.338), O at (0.000, 0.500, 0.000), O at (0.098, 0.700, 0.162), O at (0.104, 0.195, 0.000) and O at (0.105, 0.208, 0.500).

Computed, not measured: YTe2Pt at its PBEsol-relaxed geometry at the meta-GGA SCAN level of DFT.

For the total DFT energy (no corrections), the calculation gives -43.8904 eV/atom. As for the relative energy among the computed polymorphs: 16.6 kJ/mol of atoms. As for the crystal system: tetragonal. The calculation puts the raw formation energy at -0.756 eV/atom. For the density of states at the Fermi level, the calculation gives 1.73 states/eV/f.u.

The structure belongs to space group P4/mmm (No. 123); the cell edges are 4.810, 4.810 and 3.795 Å and the angles 90.00°, 90.00° and 90.00°. The inequivalent atoms are Y at (0.000, 0.000, 0.000), Te at (0.000, 0.500, 0.500) and Pt at (0.500, 0.500, 0.000).

Computed, not measured: Li2ZnRu at its PBEsol-relaxed geometry at the meta-GGA SCAN level of DFT.

For the total DFT energy (no corrections), the calculation gives -13.3301 eV/atom. As for the crystal system: orthorhombic. Its formation energy is -0.050 eV per atom. For the density of states at the Fermi level, the calculation gives 1.17 states/eV/f.u.

The structure belongs to space group Immm (No. 71); the cell edges are 2.652, 4.410 and 9.022 Å and the angles 90.00°, 90.00° and 90.00°. The inequivalent atoms are Li at (0.000, 0.000, 0.243), Zn at (0.000, 0.500, 0.500) and Ru at (0.000, 0.500, 0.000).

Computed, not measured: CuNiRh at its PBEsol-relaxed geometry at the meta-GGA SCAN level of DFT.

For the total DFT energy (no corrections), the calculation gives -21.6453 eV/atom. As for the relative energy among the computed polymorphs: 1.9 kJ/mol of atoms. As for the crystal system: tetragonal. Its formation energy is 0.069 eV per atom. For the density of states at the Fermi level, the calculation gives 2.34 states/eV/f.u.

The structure belongs to space group I4mm (No. 107); the cell edges are 2.603, 2.603 and 10.526 Å and the angles 90.00°, 90.00° and 90.00°. The inequivalent atoms are Cu at (0.000, 0.000, 0.000), Ni at (0.000, 0.000, 0.659) and Rh at (0.000, 0.000, 0.323).